Compound: Ba2Ac4Pt
Source: Alexandria via LeMat-Bulk
Functional: PBE
Structure: optimized geometry

a b c (Å): 5.9855 5.9855 10.9175
angles (deg): 105.91 105.91 90.00
Last column: nearest neighbours and their distance in Å.
Sites, in units of the cell vectors:
Ba: 0.6520 0.6520 0.3039  9 Ac 4.00-4.28
Ba: 0.3480 0.3480 0.6961  9 Ac 4.00-4.28
Pt: 0.0000 0.0000 0.0000  6 Ac 2.99-3.01
Ac: 0.1495 0.1495 0.2990  1 Pt 3.01
Ac: 0.0000 0.5000 0.0000  2 Pt 2.99
Ac: 0.8505 0.8505 0.7010  1 Pt 3.01
Ac: 0.5000 0.0000 0.0000  2 Pt 2.99

Computed properties:
The calculation puts the spin magnetization at 0.000 μB per atom. The value obtained for the formation energy is -0.115 eV per atom.